Here is a geometry-optimized TiMnO2 structure from the Alexandria database. Energies are from PBE with a Hubbard U.

## Properties
Electronic total energy ... -8.1414 eV/atom
Fermi-level density of states ... 0.374 states/eV/atom
SG ... Cm
ΔE to the lowest computed polymorph ... 3.45 kcal/mol of atoms
Magnetization ... 3.90 μB per formula unit

Geometry as POSCAR:
```
TiMnO2
1.0
-0.477 0.597 -4.008
0.046 -3.040 -0.458
-7.141 -0.250 0.941
O Mn Ti
4 2 2
Direct
0.965 0.500 0.291 O
0.965 0.000 0.791 O
0.440 0.000 0.076 O
0.440 0.500 0.576 O
0.398 0.500 0.869 Mn
0.398 0.000 0.369 Mn
0.931 0.500 0.574 Ti
0.931 0.000 0.074 Ti
```